15
Lattice="7.098 0.000 0.000 -3.549 6.147 0.000 0.000 0.000 8.667" Properties=species:S:1:pos:R:3 comment="Cs3Cu2PdCl9, optimized geometry, DFT PBE-GGA" raw_formation_energy_ev_per_atom=-1.095 pbc="T T T"
Cs 0.000 4.098 5.800
Cs 0.000 0.000 0.000
Cs 3.549 2.049 2.866
Cu 0.000 4.098 1.373
Cu 3.549 2.049 7.294
Pd 0.000 0.000 4.333
Cl 5.331 1.020 5.768
Cl 3.549 4.107 5.768
Cl 1.767 1.020 5.768
Cl 1.782 5.127 2.898
Cl 0.000 2.041 2.898
Cl -1.782 5.127 2.898
Cl 3.549 0.000 0.000
Cl -1.775 3.074 0.000
Cl 1.775 3.074 0.000

16
Lattice="7.159 0.008 0.000 -6.645 2.664 0.000 0.000 0.000 7.280" Properties=species:S:1:pos:R:3 comment="Li2B3C3, optimized geometry, DFT PBE-GGA" formation_enthalpy_0k_ev_per_atom=-0.18 e_above_lowest_polymorph_ev_per_atom=0.0000 pbc="T T T"
C 5.674 0.293 1.709
C -0.559 1.493 5.349
C 1.063 1.181 1.938
C -5.148 2.376 5.454
C -3.540 2.067 1.814
C 4.052 0.606 5.579
B 5.577 0.312 5.396
B -0.461 1.474 1.756
B 0.968 1.199 5.424
B -5.076 2.362 1.916
B -3.612 2.080 5.556
B 4.148 0.587 1.784
Li -1.902 1.751 7.243
Li 7.017 0.035 3.603
Li 2.372 0.929 0.040
Li 2.743 0.857 3.681

18
Lattice="6.127 0.117 0.084 0.581 9.328 0.047 0.581 3.050 8.815" Properties=species:S:1:pos:R:3 comment="Pm3Sc2Tl4, optimized geometry, DFT PBE-GGA" formation_enthalpy_0k_ev_per_atom=-0.22 pbc="T T T"
Pm 0.550 0.747 1.846
Pm 3.675 10.448 8.791
Pm 6.739 11.747 7.100
Pm 3.613 2.047 0.154
Pm 2.112 6.449 4.129
Pm 5.176 6.045 4.817
Sc 4.224 2.679 3.643
Sc 6.128 8.241 7.625
Sc 3.065 9.815 5.302
Sc 1.160 4.254 1.321
Tl 4.081 8.974 2.633
Tl 6.271 7.169 1.340
Tl 3.208 3.520 6.313
Tl 1.017 5.325 7.606
Tl 1.137 3.182 4.013
Tl 3.088 7.612 7.185
Tl 6.152 9.313 4.933
Tl 4.200 4.883 1.761

4
Lattice="2.678 -0.002 0.000 -1.249 2.369 0.000 0.000 0.000 8.943" Properties=species:S:1:pos:R:3 comment="ZnCuOs2, optimized geometry, DFT PBE-GGA" formation_enthalpy_0k_ev_per_atom=0.38 pbc="T T T"
Cu 0.715 1.183 6.660
Os 0.000 0.000 8.926
Os 0.715 1.183 2.233
Zn 0.000 0.000 4.538

10
Lattice="-4.478 -4.618 -3.251 4.862 -1.041 -5.218 1.070 -2.023 1.400" Properties=species:S:1:pos:R:3 comment="Co2MoW2, optimized geometry, DFT PBE-GGA" formation_enthalpy_0k_ev_per_atom=0.15 e_above_lowest_polymorph_ev_per_atom=0.0000 pbc="T T T"
Mo 0.000 0.000 0.000
Mo 0.192 -2.829 -4.235
Co 2.576 -2.655 -5.804
Co -0.900 -4.699 -6.102
Co -2.192 -3.004 -2.665
Co 1.284 -0.959 -2.368
W 3.032 -2.506 -3.366
W 1.550 -4.977 -5.805
W -1.578 -5.176 -3.702
W -0.097 -2.705 -1.264

3
Lattice="-1.106 -3.024 0.431 0.279 -0.809 -4.958 3.950 -1.026 2.942" Properties=species:S:1:pos:R:3 comment="PuTlAu, optimized geometry, DFT PBE-GGA" formation_enthalpy_0k_ev_per_atom=-0.24 e_above_lowest_polymorph_ev_per_atom=0.0036 pbc="T T T"
Tl -0.185 -0.505 0.072
Au 2.542 -1.456 0.381
Pu 0.765 -2.897 -2.037

4
Lattice="4.792 0.000 0.000 2.396 4.150 0.000 2.396 1.383 3.913" Properties=species:S:1:pos:R:3 comment="TmCdGaPd, optimized geometry, DFT PBE-GGA" formation_enthalpy_0k_ev_per_atom=-0.56 pbc="T T T"
Tm 2.396 1.383 0.978
Ga 4.792 2.767 1.956
Pd 0.000 0.000 0.000
Cd 7.188 4.150 2.934

4
Lattice="8.201 -0.053 -0.031 7.546 3.211 -0.031 7.546 1.513 2.832" Properties=species:S:1:pos:R:3 comment="In2SiNi, optimized geometry, DFT PBE-GGA" raw_formation_energy_ev_per_atom=0.260 pbc="T T T"
In 23.147 4.641 2.752
In 11.793 2.365 1.402
Ni 5.823 1.168 0.692
Si 17.470 3.503 2.077

| no. | DFT total energy (eV per cell) | density of states at the Fermi level (states/eV/atom) |
| --- | --- | --- |
| 1 | -49.0 | 0.29 |
| 2 | -105.9 | 0.18 |
| 3 | -76.8 | 1.13 |
| 4 | -26.3 | 1.05 |
| 5 | -100.4 | 1.66 |
| 6 | -20.7 | 3.08 |
| 7 | -15.8 | 0.15 |
| 8 | -15.6 | 0.26 |